This record from the Alexandria database describes a relaxed ZrBRu3 crystal. The functional is PBE-GGA.

Cell: 5.348 5.348 5.595 Å, 90.22 90.22 118.00°
Element x y z (fractional)
Zr 0.248 0.248 0.303
Zr 0.752 0.752 0.697
B 0.392 0.110 0.707
B 0.890 0.608 0.293
Ru 0.183 0.327 0.819
Ru 0.195 0.805 0.000
Ru 0.261 0.739 0.500
Ru 0.673 0.817 0.181
Ru 0.700 0.300 0.000
Ru 0.762 0.238 0.500

Results
- formation energy (eV per formula unit) = -1.53
- Fermi-level density of states (states/eV per cell) = 8.70
- total moment (μB/cell) = 0.00